Record 1
32
Lattice="10.070 0.000 0.000 0.000 9.245 0.000 0.000 0.000 7.124" Properties=species:S:1:pos:R:3 comment="GaF, optimized geometry, DFT GGA-PBE" volume_a3_per_atom=20.73 magnetic_moment_mub_per_fu=0.00 spacegroup=Fddd final_energy_ev_per_atom=-4.00 dos_at_fermi_per_ev_atom=0.000 formation_energy_uncorrected_ev_per_atom=-1.554 pbc="T T T"
Ga 5.035 0.000 5.399
Ga 7.552 2.311 7.069
Ga 7.552 2.311 3.618
Ga 2.517 2.311 3.506
Ga 2.517 6.934 3.618
Ga 0.000 4.623 5.399
Ga 5.035 4.623 5.287
Ga 5.035 4.623 1.837
Ga 0.000 4.623 1.725
Ga 2.517 6.934 7.069
Ga 0.000 0.000 1.837
Ga 7.552 6.934 3.506
Ga 5.035 0.000 1.725
Ga 2.517 2.311 0.056
Ga 0.000 0.000 5.287
Ga 7.552 6.934 0.056
F 0.000 1.331 3.562
F 2.517 3.642 1.781
F 2.517 5.603 5.343
F 5.035 1.331 0.000
F 7.552 8.265 1.781
F 2.517 0.980 1.781
F 7.552 5.603 1.781
F 7.552 3.642 5.343
F 0.000 5.954 0.000
F 5.035 7.915 0.000
F 5.035 3.292 3.562
F 2.517 8.265 5.343
F 0.000 3.292 0.000
F 5.035 5.954 3.562
F 7.552 0.980 5.343
F 0.000 7.915 3.562



Record 2
8
Lattice="-1.668 -2.177 -3.639 3.768 1.033 -2.345 3.401 -5.246 -1.274" Properties=species:S:1:pos:R:3 comment="GaF3, optimized geometry, DFT GGA-PBE" volume_a3_per_atom=14.29 magnetic_moment_mub_per_fu=0.00 spacegroup=I-42d final_energy_ev_per_atom=-3.85 dos_at_fermi_per_ev_atom=0.877 formation_energy_uncorrected_ev_per_atom=-1.693 pbc="T T T"
F 1.588 -2.776 -5.312
F 1.206 -5.807 -4.212
F 0.019 -2.882 -3.453
F 2.751 -4.524 -2.835
F 4.109 -2.392 -3.306
F 1.050 -0.572 -2.992
Ga 1.391 -3.997 -3.953
Ga 0.000 0.000 0.000



Record 3
12
Lattice="3.688 0.000 0.000 0.000 4.776 0.000 0.000 0.000 12.069" Properties=species:S:1:pos:R:3 comment="GaF, optimized geometry, DFT GGA-PBE" volume_a3_per_atom=17.72 magnetic_moment_mub_per_fu=0.00 spacegroup=Pmmn final_energy_ev_per_atom=-4.04 formation_energy_uncorrected_ev_per_atom=-1.593 pbc="T T T"
F 1.844 0.060 10.059
F 0.000 4.715 0.000
F 0.000 4.717 4.025
F 1.844 0.060 2.010
F 1.844 0.062 6.034
F 0.000 4.717 8.044
Ga 1.844 1.300 0.000
Ga 1.844 1.303 4.024
Ga 0.000 3.474 10.058
Ga 1.844 1.303 8.045
Ga 0.000 3.474 2.011
Ga 0.000 3.477 6.034